Entry P
Material: TcS2ClO
Method: DFT, PBE
State: relaxed

Output
Space-group type   P4/mmm, No. 123
ρ   4.1 g/cm3
DOS(E_F)   2.6 states/eV/cell
V   86.26 Å³/f.u.

The structure in POSCAR format:
```
TcS2ClO
1.0
3.907 0.000 0.000
0.000 3.907 0.000
0.000 0.000 5.650
Tc S Cl O
1 2 1 1
Cartesian
0.000 0.000 0.000 Tc
0.000 1.954 2.825 S
1.954 0.000 2.825 S
1.954 1.954 0.000 Cl
1.954 1.954 2.825 O
```

Entry Q
Material: TcS2ClO
Method: DFT, PBE
State: relaxed

Output
Space-group type   P4/mmm, No. 123
ρ   3.6 g/cm3
DOS(E_F)   7.2 states/eV/cell
V   97.18 Å³/f.u.

The structure in POSCAR format:
```
TcS2ClO
1.0
4.528 0.000 0.000
0.000 4.528 0.000
0.000 0.000 4.739
Tc S Cl O
1 2 1 1
Cartesian
0.000 0.000 0.000 Tc
0.000 2.264 0.000 S
2.264 0.000 0.000 S
0.000 0.000 2.370 Cl
2.264 2.264 2.370 O
```

Verdict on stability: entry P comes out at the bottom.